{
  "formula": "NpNbCrO6",
  "functional": "PBE+U",
  "state": "relaxed",
  "lattice": [[5.4244, 0.0000, 0.0000], [-2.7122, 4.6977, 0.0000], [0.0000, 0.0000, 8.8638]],
  "species": ["Np", "Np", "Nb", "Nb", "Cr", "Cr", "O", "O", "O", "O", "O", "O", "O", "O", "O", "O", "O", "O"],
  "fractional_positions": [[0.3333, 0.6667, 0.2500], [0.6667, 0.3333, 0.7500], [0.3333, 0.6667, 0.7500], [0.6667, 0.3333, 0.2500], [0.0000, 0.0000, 0.0000], [0.0000, 0.0000, 0.5000], [0.0182, 0.3422, 0.6282], [0.0182, 0.6760, 0.8718], [0.3240, 0.3422, 0.8718], [0.3240, 0.9818, 0.6282], [0.3422, 0.0182, 0.1282], [0.3422, 0.3240, 0.3718], [0.6578, 0.6760, 0.6282], [0.6578, 0.9818, 0.8718], [0.6760, 0.0182, 0.3718], [0.6760, 0.6578, 0.1282], [0.9818, 0.3240, 0.1282], [0.9818, 0.6578, 0.3718]],
  "final_energy_ev_per_cell": -163.51,
  "total_magnetization_mub_per_fu": 6.00,
  "spacegroup": "P-31c"
}